# 1
Density functional theory data (PBE) for a geometry-optimized CePOs structure.

a = 3.9498 Å, b = 3.9498 Å, c = 25.7655 Å
α = 90.00°, β = 90.00°, γ = 120.00°
Space group R-3m (No. 166, hexagonal axes)
Unique sites:
Ce: 0.0000 0.0000 0.1235
P: 0.0000 0.0000 0.2771
Os: 0.0000 0.0000 0.3703

Results
DFT total energy = -8.018 eV/atom
energy of formation from the pure elements = -0.4932 eV per atom
total moment = 0.199 μB per atom

---

# 2
Density functional theory data (PBE) for a geometry-optimized Al2GePt2 structure.

a = 7.547 Å, b = 7.547 Å, c = 2.811 Å
α = 90.00°, β = 90.00°, γ = 90.00°
Space group P4/mbm (No. 127)
Unique sites:
Al: 0.152 0.348 0.000
Ge: 0.000 0.000 0.500
Pt: 0.144 0.644 0.500

Results
DFT total energy = -5.533 eV/atom
distance to the lowest polymorph of the same formula = 0.0 kJ/mol of formula units
energy of formation from the pure elements = -0.6960 eV per atom
total moment = 0.000 μB per atom

---

# 3
Density functional theory data (PBE) for a geometry-optimized LiAcU2N5 structure.

a = 6.471 Å, b = 6.471 Å, c = 11.475 Å
α = 90.00°, β = 90.00°, γ = 90.00°
Space group I4/mcm (No. 140)
Unique sites:
Li: 0.000 0.500 0.250
Ac: 0.000 0.000 0.250
U: 0.169 0.331 0.000
N: 0.000 0.000 0.000
N: 0.157 0.343 0.377

Results
DFT total energy = -8.991 eV/atom
formation energy from raw total energies = -1188 meV/atom
total moment = 0.107 μB per atom

---

What did the second record say?
Density functional theory data (PBE) for a geometry-optimized Al2GePt2 structure.

a = 7.547 Å, b = 7.547 Å, c = 2.811 Å
α = 90.00°, β = 90.00°, γ = 90.00°
Space group P4/mbm (No. 127)
Unique sites:
Al: 0.152 0.348 0.000
Ge: 0.000 0.000 0.500
Pt: 0.144 0.644 0.500

Results
DFT total energy = -5.533 eV/atom
distance to the lowest polymorph of the same formula = 0.0 kJ/mol of formula units
energy of formation from the pure elements = -0.6960 eV per atom
total moment = 0.000 μB per atom